Entry 1:
The following is a DFT calculation (PBE) of a geometry-optimized Li2NdGa2 structure.

a b c (Å): 12.0155 12.0155 12.0155
angles (deg): 159.88 159.16 29.13
Atoms (fractional coordinates):
Li1 0.2031 0.4531 0.7500
Li2 0.2958 0.0458 0.2500
Li3 0.7042 0.9542 0.7500
Li4 0.7969 0.5469 0.2500
Nd1 0.4224 0.6724 0.7500
Nd2 0.5776 0.3276 0.2500
Ga1 0.0284 0.7784 0.2500
Ga2 0.1355 0.8855 0.2500
Ga3 0.8645 0.1145 0.7500
Ga4 0.9716 0.2216 0.7500

Space group: Imma, No. 74
Total moment (Bohr magnetons per cell): 0.0
ΔE_f (eV per formula unit): -1.9
Offset from the most stable computed form (meV per atom): 0


Entry 2:
The following is a DFT calculation (PBE) of a geometry-optimized Li3NdGa3 structure.

a b c (Å): 7.2911 4.4153 9.2931
angles (deg): 90.00 108.29 90.00
Atoms (fractional coordinates):
Li1 0.0322 0.2500 0.2515
Li2 0.1878 0.2500 0.9426
Li3 0.2767 0.7500 0.2885
Li4 0.7233 0.2500 0.7115
Li5 0.8122 0.7500 0.0574
Li6 0.9678 0.7500 0.7485
Nd1 0.3809 0.7500 0.7097
Nd2 0.6191 0.2500 0.2903
Ga1 0.0508 0.2500 0.5860
Ga2 0.3615 0.2500 0.4789
Ga3 0.4208 0.7500 0.0491
Ga4 0.5792 0.2500 0.9509
Ga5 0.6385 0.7500 0.5211
Ga6 0.9492 0.7500 0.4140

Space group: P2_1/m, No. 11
Total moment (Bohr magnetons per cell): 0.0
ΔE_f (eV per formula unit): -2.3
Offset from the most stable computed form (meV per atom): 0


Copy entry 1 word for word.
The following is a DFT calculation (PBE) of a geometry-optimized Li2NdGa2 structure.

a b c (Å): 12.0155 12.0155 12.0155
angles (deg): 159.88 159.16 29.13
Atoms (fractional coordinates):
Li1 0.2031 0.4531 0.7500
Li2 0.2958 0.0458 0.2500
Li3 0.7042 0.9542 0.7500
Li4 0.7969 0.5469 0.2500
Nd1 0.4224 0.6724 0.7500
Nd2 0.5776 0.3276 0.2500
Ga1 0.0284 0.7784 0.2500
Ga2 0.1355 0.8855 0.2500
Ga3 0.8645 0.1145 0.7500
Ga4 0.9716 0.2216 0.7500

Space group: Imma, No. 74
Total moment (Bohr magnetons per cell): 0.0
ΔE_f (eV per formula unit): -1.9
Offset from the most stable computed form (meV per atom): 0